DFT (GGA-PBE) results for Pm4CdAu2 after structural relaxation.

Properties
Its calculated formation energy is -0.3666 eV per atom. The value obtained for the calculated volume is 31.17 A^3/atom.

POSCAR file:
```
Pm4CdAu2
1.0
-2.006 6.794 -3.472
-6.555 -3.283 2.914
5.327 1.810 6.650
Pm Cd Au
8 2 4
Direct
0.959 0.249 0.344 Pm
0.292 0.501 0.157 Pm
0.905 0.615 0.656 Pm
0.751 0.041 0.656 Pm
0.385 0.095 0.344 Pm
0.344 0.135 0.843 Pm
0.499 0.709 0.843 Pm
0.865 0.655 0.157 Pm
0.250 0.750 0.500 Cd
0.000 0.000 0.000 Cd
0.625 0.375 0.750 Au
0.625 0.875 0.250 Au
0.625 0.374 0.249 Au
0.125 0.375 0.751 Au
```


DFT (GGA-PBE) results for Pm2Cd5Au4 after structural relaxation.

Properties
Its calculated formation energy is -0.3828 eV per atom. The value obtained for the calculated volume is 23.42 A^3/atom.

POSCAR file:
```
Pm2Cd5Au4
1.0
-2.818 -2.293 4.482
0.503 -5.356 1.290
5.902 0.900 7.886
Pm Cd Au
2 5 4
Direct
0.878 0.000 0.244 Pm
0.122 0.000 0.756 Pm
0.500 0.000 0.000 Cd
0.000 0.500 0.000 Cd
0.500 0.500 0.000 Cd
0.250 0.500 0.500 Cd
0.750 0.500 0.500 Cd
0.474 0.314 0.738 Au
0.526 0.686 0.262 Au
0.212 0.314 0.262 Au
0.788 0.686 0.738 Au
```


DFT (GGA-PBE) results for Pm3Cd2Au4 after structural relaxation.

Properties
For the energy relative to the lowest polymorph listed for this composition, the calculation gives 0.0 meV per atom. Its calculated formation energy is -0.6592 eV per atom. The value obtained for the calculated volume is 23.73 A^3/atom.

POSCAR file:
```
Pm3Cd2Au4
1.0
4.580 0.000 1.353
2.024 5.503 1.577
-0.008 -0.094 8.456
Pm Cd Au
3 2 4
Direct
0.351 0.611 0.688 Pm
0.000 0.000 0.000 Pm
0.649 0.389 0.312 Pm
0.355 0.978 0.313 Cd
0.645 0.022 0.687 Cd
0.279 0.381 0.062 Au
0.721 0.619 0.938 Au
0.065 0.268 0.602 Au
0.935 0.732 0.398 Au
```


DFT (GGA-PBE) results for PmCd3Au3 after structural relaxation.

Properties
For the energy relative to the lowest polymorph listed for this composition, the calculation gives 58.8 meV per atom. Its calculated formation energy is -0.3440 eV per atom. The value obtained for the calculated volume is 23.96 A^3/atom.

POSCAR file:
```
PmCd3Au3
1.0
-0.524 8.009 -1.751
-7.100 3.168 -2.653
-4.083 4.810 3.955
Pm Cd Au
2 6 6
Direct
0.336 0.336 0.991 Pm
0.664 0.664 0.009 Pm
0.467 0.779 0.632 Cd
0.779 0.122 0.632 Cd
0.122 0.467 0.632 Cd
0.878 0.533 0.368 Cd
0.221 0.878 0.368 Cd
0.533 0.221 0.368 Cd
0.240 0.661 0.146 Au
0.954 0.240 0.146 Au
0.661 0.954 0.146 Au
0.339 0.046 0.854 Au
0.046 0.760 0.854 Au
0.760 0.339 0.854 Au
```


DFT (GGA-PBE) results for Pm4CdAu7 after structural relaxation.

Properties
Its calculated formation energy is -0.6179 eV per atom. The value obtained for the calculated volume is 24.75 A^3/atom.

POSCAR file:
```
Pm4CdAu7
1.0
5.171 0.000 0.000
2.585 8.110 1.125
2.585 1.168 7.246
Pm Cd Au
4 1 7
Direct
0.561 0.254 0.623 Pm
0.439 0.746 0.377 Pm
0.732 0.742 0.795 Pm
0.268 0.258 0.205 Pm
0.000 0.000 0.000 Cd
0.806 0.990 0.398 Au
0.194 0.010 0.602 Au
0.091 0.637 0.181 Au
0.909 0.363 0.819 Au
0.326 0.551 0.797 Au
0.500 0.000 0.000 Au
0.674 0.449 0.203 Au
```


DFT (GGA-PBE) results for Pm2Cd2Au after structural relaxation.

Properties
For the energy relative to the lowest polymorph listed for this composition, the calculation gives 51.4 meV per atom. Its calculated formation energy is -0.3902 eV per atom. The value obtained for the calculated volume is 26.83 A^3/atom.

POSCAR file:
```
Pm2Cd2Au
1.0
3.514 0.000 0.000
0.000 3.548 0.672
0.000 -0.194 10.724
Pm Cd Au
2 2 1
Direct
0.500 0.409 0.182 Pm
0.500 0.591 0.818 Pm
0.000 0.196 0.609 Cd
0.000 0.804 0.391 Cd
0.000 0.000 0.000 Au
```


DFT (GGA-PBE) results for Pm2Cd2Au3 after structural relaxation.

Properties
Its calculated formation energy is -0.6081 eV per atom. The value obtained for the calculated volume is 23.51 A^3/atom.

POSCAR file:
```
Pm2Cd2Au3
1.0
-1.601 -3.758 2.091
6.223 -0.359 4.118
-2.564 4.700 1.448
Pm Cd Au
2 2 3
Direct
0.367 0.205 0.735 Pm
0.633 0.795 0.265 Pm
0.118 0.427 0.236 Cd
0.882 0.573 0.764 Cd
0.000 0.000 0.000 Au
0.327 0.786 0.654 Au
0.673 0.214 0.346 Au
```


DFT (GGA-PBE) results for Pm2Cd2Au15 after structural relaxation.

Properties
Its calculated formation energy is -0.2875 eV per atom. The value obtained for the calculated volume is 20.46 A^3/atom.

POSCAR file:
```
Pm2Cd2Au15
1.0
-4.711 -5.259 -2.138
-0.929 -3.381 6.490
-6.302 3.234 2.059
Pm Cd Au
2 2 15
Direct
0.352 0.352 0.352 Pm
0.648 0.648 0.648 Pm
0.103 0.103 0.103 Cd
0.897 0.897 0.897 Cd
0.500 0.000 0.000 Au
0.000 0.000 0.500 Au
0.000 0.500 0.000 Au
0.000 0.694 0.306 Au
0.694 0.306 0.000 Au
0.306 0.000 0.694 Au
0.306 0.694 0.000 Au
0.694 0.000 0.306 Au
0.000 0.306 0.694 Au
0.158 0.641 0.641 Au
0.641 0.641 0.158 Au
0.641 0.158 0.641 Au
0.842 0.359 0.359 Au
0.359 0.359 0.842 Au
0.359 0.842 0.359 Au
```


DFT (GGA-PBE) results for Pm6Cd5Au after structural relaxation.

Properties
Its calculated formation energy is -0.3882 eV per atom. The value obtained for the calculated volume is 27.55 A^3/atom.

POSCAR file:
```
Pm6Cd5Au
1.0
0.346 -4.723 -2.537
7.085 1.713 -2.222
3.100 -5.754 5.449
Pm Au Cd
6 1 5
Direct
0.838 0.753 0.324 Pm
0.838 0.247 0.324 Pm
0.500 0.242 0.000 Pm
0.500 0.758 0.000 Pm
0.162 0.753 0.676 Pm
0.162 0.247 0.676 Pm
0.000 0.000 0.000 Au
0.671 0.500 0.659 Cd
0.325 0.000 0.349 Cd
0.000 0.500 0.000 Cd
0.675 0.000 0.651 Cd
0.329 0.500 0.341 Cd
```


DFT (GGA-PBE) results for PmCd6Au after structural relaxation.

Properties
Its calculated formation energy is -0.1960 eV per atom. The value obtained for the calculated volume is 23.69 A^3/atom.

POSCAR file:
```
PmCd6Au
1.0
4.845 0.000 0.000
0.000 5.592 -1.810
0.000 -0.747 7.237
Pm Cd Au
1 6 1
Direct
0.500 0.704 0.408 Pm
0.500 0.674 0.866 Cd
0.500 0.193 0.866 Cd
0.000 0.820 0.154 Cd
0.000 0.334 0.154 Cd
0.000 0.285 0.569 Cd
0.000 0.863 0.725 Cd
0.500 0.128 0.256 Au
```


DFT (GGA-PBE) results for Pm2Cd3Au3 after structural relaxation.

Properties
Its calculated formation energy is -0.5668 eV per atom. The value obtained for the calculated volume is 22.72 A^3/atom.

POSCAR file:
```
Pm2Cd3Au3
1.0
-4.891 -1.120 0.645
-1.329 -4.373 2.169
-1.929 1.778 8.302
Pm Cd Au
2 3 3
Direct
0.005 0.005 0.984 Pm
0.495 0.495 0.515 Pm
0.248 0.248 0.256 Cd
0.752 0.752 0.744 Cd
0.623 0.623 0.131 Cd
0.128 0.128 0.615 Au
0.879 0.879 0.363 Au
0.369 0.369 0.892 Au
```


DFT (GGA-PBE) results for Pm2CdAu8 after structural relaxation.

Properties
Its calculated formation energy is -0.4709 eV per atom. The value obtained for the calculated volume is 21.67 A^3/atom.

POSCAR file:
```
Pm2CdAu8
1.0
1.637 3.655 -3.270
0.755 -4.409 -4.551
-9.104 -1.008 3.940
Pm Cd Au
2 1 8
Direct
0.072 0.643 0.285 Pm
0.928 0.357 0.715 Pm
0.500 0.000 0.000 Cd
0.645 0.934 0.339 Au
0.355 0.595 0.661 Au
0.166 0.177 0.355 Au
0.000 0.231 0.000 Au
0.834 0.823 0.645 Au
0.645 0.405 0.339 Au
0.355 0.066 0.661 Au
0.000 0.769 0.000 Au
```


What did the sixth record say?
DFT (GGA-PBE) results for Pm2Cd2Au after structural relaxation.

Properties
For the energy relative to the lowest polymorph listed for this composition, the calculation gives 51.4 meV per atom. Its calculated formation energy is -0.3902 eV per atom. The value obtained for the calculated volume is 26.83 A^3/atom.

POSCAR file:
```
Pm2Cd2Au
1.0
3.514 0.000 0.000
0.000 3.548 0.672
0.000 -0.194 10.724
Pm Cd Au
2 2 1
Direct
0.500 0.409 0.182 Pm
0.500 0.591 0.818 Pm
0.000 0.196 0.609 Cd
0.000 0.804 0.391 Cd
0.000 0.000 0.000 Au
```


Number 10 is which compound?
PmCd6Au


The highest calculated volume belongs to which entry?
Pm4CdAu2


Among the records above, which one has the highest calculated volume?
Pm4CdAu2